No. 1
The following is a DFT calculation (GGA-PBE) of MoAsPb4 after structural relaxation.

CIF file:
```
data_MoAsPb4
_chemical_formula_sum 'Mo1 As1 Pb4'
_cell_length_a 6.297
_cell_length_b 6.297
_cell_length_c 6.297
_cell_angle_alpha 60.00
_cell_angle_beta 60.00
_cell_angle_gamma 60.00
_symmetry_space_group_name_H-M 'P 1'
_symmetry_Int_Tables_number 1
loop_
_symmetry_equiv_pos_as_xyz
'x,y,z'
loop_
_atom_site_label
_atom_site_fract_x
_atom_site_fract_y
_atom_site_fract_z
Mo1 0.000 0.000 0.000
As1 0.250 0.250 0.250
Pb1 0.124 0.625 0.625
Pb2 0.625 0.124 0.625
Pb3 0.625 0.625 0.124
Pb4 0.625 0.625 0.625
```

DOS(E_F) (states/eV per atom): 0.7617
V (Å³ per cell): 176.6

No. 2
The following is a DFT calculation (GGA-PBE) of Mo2AsPb after structural relaxation.

CIF file:
```
data_Mo2AsPb
_chemical_formula_sum 'Mo2 As1 Pb1'
_cell_length_a 4.634
_cell_length_b 4.634
_cell_length_c 4.634
_cell_angle_alpha 60.00
_cell_angle_beta 60.00
_cell_angle_gamma 60.00
_symmetry_space_group_name_H-M 'P 1'
_symmetry_Int_Tables_number 1
loop_
_symmetry_equiv_pos_as_xyz
'x,y,z'
loop_
_atom_site_label
_atom_site_fract_x
_atom_site_fract_y
_atom_site_fract_z
Mo1 0.250 0.250 0.250
Mo2 0.750 0.750 0.750
As1 0.000 0.000 0.000
Pb1 0.500 0.500 0.500
```

DOS(E_F) (states/eV per atom): 1.8776
V (Å³ per cell): 70.4
Relative energy among the computed polymorphs (meV per atom): 395.9

Number 1: E_tot -24.6 eV/cell. Number 2: E_tot -27.8 eV/cell.